Below is a geometry-optimized YAlCo2 structure, with properties calculated at the GGA-PBEsol level.

- Total energy: -54.21 eV per cell
- Magnetization: 0.0 μB/f.u.
- Calculated formation energy: -0.180 eV per atom

Structure (CIF):
```
data_YAlCo2
_cell_length_a 3.6884
_cell_length_b 3.6660
_cell_length_c 9.2967
_cell_angle_alpha 90.00
_cell_angle_beta 90.00
_cell_angle_gamma 90.00
_symmetry_space_group_name_H-M 'A m m 2'
_symmetry_Int_Tables_number 38
loop_
_symmetry_equiv_pos_as_xyz
'x,y,z'
'-x,-y,z'
'-x,y,z'
'x,-y,z'
'x,y+1/2,z+1/2'
'-x,-y+1/2,z+1/2'
'-x,y+1/2,z+1/2'
'x,-y+1/2,z+1/2'
loop_
_atom_site_label
_atom_site_type_symbol
_atom_site_fract_x
_atom_site_fract_y
_atom_site_fract_z
Y1 Y 0.0000 0.0000 0.0000
Al1 Al 0.5000 0.0000 0.7083
Co1 Co 0.0000 0.0000 0.2743
Co2 Co 0.5000 0.0000 0.4047
```

---

Below is a geometry-optimized GaAs3I structure, with properties calculated at the GGA-PBEsol level.

- Total energy: -14.18 eV per cell
- Magnetization: 0.0 μB/f.u.
- Uncorrected formation energy: 1.249 eV per atom

Structure (CIF):
```
data_GaAs3I
_cell_length_a 5.3334
_cell_length_b 5.3334
_cell_length_c 5.3334
_cell_angle_alpha 90.00
_cell_angle_beta 90.00
_cell_angle_gamma 90.00
_symmetry_space_group_name_H-M 'P m -3 m'
_symmetry_Int_Tables_number 221
_symmetry_space_group_name_Hall '-P 4 2 3'
loop_
_atom_site_label
_atom_site_type_symbol
_atom_site_fract_x
_atom_site_fract_y
_atom_site_fract_z
Ga1 Ga 0.0000 0.0000 0.0000
As1 As 0.0000 0.5000 0.5000
I1 I 0.5000 0.5000 0.5000
```

---

Below is a geometry-optimized KScIn2 structure, with properties calculated at the GGA-PBEsol level.

- E above lowest polymorph: 42.0 kJ per mole of atoms
- Total energy: -51.47 eV per cell
- Magnetization: 0.5 μB/f.u.
- Calculated formation energy: 0.209 eV per atom

Structure (CIF):
```
data_KScIn2
_cell_length_a 7.4891
_cell_length_b 7.4891
_cell_length_c 7.4891
_cell_angle_alpha 90.00
_cell_angle_beta 90.00
_cell_angle_gamma 90.00
_symmetry_space_group_name_H-M 'F -4 3 m'
_symmetry_Int_Tables_number 216
_symmetry_space_group_name_Hall 'F -4 2 3'
loop_
_atom_site_label
_atom_site_type_symbol
_atom_site_fract_x
_atom_site_fract_y
_atom_site_fract_z
K1 K 0.0000 0.0000 0.0000
Sc1 Sc 0.2500 0.2500 0.2500
In1 In 0.0000 0.0000 0.5000
In2 In 0.2500 0.2500 0.7500
```

---

Below is a geometry-optimized Fe3Ir structure, with properties calculated at the GGA-PBEsol level.

- Total energy: -36.65 eV per cell
- Magnetization: 0.0 μB/f.u.
- Calculated formation energy: 0.017 eV per atom

Structure (CIF):
```
data_Fe3Ir
_cell_length_a 3.5307
_cell_length_b 3.5307
_cell_length_c 3.5307
_cell_angle_alpha 90.00
_cell_angle_beta 90.00
_cell_angle_gamma 90.00
_symmetry_space_group_name_H-M 'P m -3 m'
_symmetry_Int_Tables_number 221
_symmetry_space_group_name_Hall '-P 4 2 3'
loop_
_atom_site_label
_atom_site_type_symbol
_atom_site_fract_x
_atom_site_fract_y
_atom_site_fract_z
Fe1 Fe 0.0000 0.0000 0.5000
Ir1 Ir 0.5000 0.5000 0.5000
```

---

Below is a geometry-optimized ZrCu2Ru structure, with properties calculated at the GGA-PBEsol level.

- E above lowest polymorph: 8.6 kJ per mole of atoms
- Total energy: -28.03 eV per cell
- Magnetization: 0.0 μB/f.u.
- Calculated formation energy: -0.024 eV per atom

Structure (CIF):
```
data_ZrCu2Ru
_cell_length_a 2.8733
_cell_length_b 3.8330
_cell_length_c 5.1657
_cell_angle_alpha 90.00
_cell_angle_beta 90.00
_cell_angle_gamma 90.00
_symmetry_space_group_name_H-M 'P m m m'
_symmetry_Int_Tables_number 47
loop_
_symmetry_equiv_pos_as_xyz
'x,y,z'
'-x,-y,-z'
'-x,-y,z'
'x,y,-z'
'x,-y,-z'
'-x,y,z'
'-x,y,-z'
'x,-y,z'
loop_
_atom_site_label
_atom_site_type_symbol
_atom_site_fract_x
_atom_site_fract_y
_atom_site_fract_z
Zr1 Zr 0.0000 0.0000 0.0000
Cu1 Cu 0.5000 0.5000 0.2682
Ru1 Ru 0.0000 0.0000 0.5000
```

---

Below is a geometry-optimized BaCd3Pt structure, with properties calculated at the GGA-PBEsol level.

- Total energy: -14.25 eV per cell
- Magnetization: 0.0 μB/f.u.
- Calculated formation energy: -0.310 eV per atom

Structure (CIF):
```
data_BaCd3Pt
_cell_length_a 5.1923
_cell_length_b 5.1923
_cell_length_c 5.1923
_cell_angle_alpha 90.00
_cell_angle_beta 90.00
_cell_angle_gamma 90.00
_symmetry_space_group_name_H-M 'P m -3 m'
_symmetry_Int_Tables_number 221
_symmetry_space_group_name_Hall '-P 4 2 3'
loop_
_atom_site_label
_atom_site_type_symbol
_atom_site_fract_x
_atom_site_fract_y
_atom_site_fract_z
Ba1 Ba 0.0000 0.0000 0.0000
Cd1 Cd 0.0000 0.5000 0.5000
Pt1 Pt 0.5000 0.5000 0.5000
```